(1)
# Cr2HgOs

Cr2HgOs after structural relaxation (GGA-PBE, Alexandria).

Summary:
ΔE_f, eV/atom: 0.60
E_tot, eV/cell: -28.4

Cell lengths 4.824, 4.824, 4.824 Å; angles 132.33, 132.33, 69.71 degrees
Fractional coordinates of all 4 atoms:
Cr (0.000, 0.000, 0.000)
Cr (0.750, 0.250, 0.500)
Hg (0.250, 0.750, 0.500)
Os (0.500, 0.500, 0.000)

---

(2)
# HRh3W

HRh3W after structural relaxation (GGA-PBE, Alexandria).

Summary:
E_tot, eV/cell: -77.4
Relative energy among the computed polymorphs, eV per atom: 0.025

Cell lengths 5.576, 5.576, 5.576 Å; angles 59.93, 59.93, 59.93 degrees
Fractional coordinates of all 10 atoms:
H (0.000, 0.000, 0.000)
H (0.398, 0.398, 0.398)
Rh (0.262, 0.262, 0.781)
Rh (0.262, 0.781, 0.262)
Rh (0.270, 0.762, 0.762)
Rh (0.762, 0.270, 0.762)
Rh (0.762, 0.762, 0.270)
Rh (0.781, 0.262, 0.262)
W (0.255, 0.255, 0.255)
W (0.760, 0.760, 0.760)

---

(3)
# ErP2Rh4

ErP2Rh4 after structural relaxation (GGA-PBE, Alexandria).

Summary:
ΔE_f, eV/atom: -0.90
E_tot, eV/cell: -102.1

Cell lengths 7.620, 7.620, 3.670 Å; angles 90.00, 90.00, 90.00 degrees
Fractional coordinates of all 14 atoms:
Er (0.000, 0.000, 0.000)
Er (0.500, 0.500, 0.500)
P (0.234, 0.234, 0.500)
P (0.266, 0.734, 0.000)
P (0.734, 0.266, 0.000)
P (0.766, 0.766, 0.500)
Rh (0.069, 0.680, 0.500)
Rh (0.180, 0.431, 0.000)
Rh (0.320, 0.931, 0.500)
Rh (0.431, 0.180, 0.000)
Rh (0.569, 0.820, 0.000)
Rh (0.680, 0.069, 0.500)
Rh (0.820, 0.569, 0.000)
Rh (0.931, 0.320, 0.500)

---

> Which of these has the highest E_tot?

Cr2HgOs

---

> The lowest E_tot belongs to which entry?

ErP2Rh4

---

> The highest E_tot belongs to which entry?

Cr2HgOs